[1]
This record from Alexandria describes MnCuSiPt after structural relaxation. The functional is PBE-GGA.

```
MnCuSiPt
1.0
-1.6832 1.8096 3.4219
1.8338 -0.4985 3.7691
1.9547 3.2557 1.8432
Pt Cu Mn Si
1 1 1 1
direct
0.7500 0.7500 0.7500 Pt
0.5000 0.5000 0.5000 Cu
0.2500 0.2500 0.2500 Mn
0.0000 0.0000 0.0000 Si
```

symmetry: F-43m
formation energy without anion corrections: -0.253 eV per atom

=====

[2]
This record from Alexandria describes TiSiAs2Br after structural relaxation. The functional is PBE-GGA.

```
TiSiAs2Br
1.0
-2.8288 0.1213 -3.8322
-3.5539 -1.8701 2.5642
-1.5152 4.6133 1.2645
Br As Si Ti
1 2 1 1
direct
0.0000 0.0000 0.5000 Br
0.5000 0.0000 0.0000 As
0.0000 0.5000 0.0000 As
0.0000 0.0000 0.0000 Si
0.5000 0.5000 0.5000 Ti
```

symmetry: P4/mmm
formation energy without anion corrections: 0.563 eV per atom

=====

[3]
This record from Alexandria describes DyZrW4 after structural relaxation. The functional is PBE-GGA.

```
DyZrW4
1.0
-1.0222 -5.3080 0.8893
4.0103 -3.6913 -0.5497
2.0632 -2.4827 4.4261
W Zr Dy
4 1 1
direct
0.6248 0.1256 0.6248 W
0.1256 0.6248 0.6248 W
0.6248 0.6248 0.6248 W
0.6248 0.6248 0.1256 W
0.0000 0.0000 0.0000 Zr
0.2500 0.2500 0.2500 Dy
```

energy relative to the elements: 0.0166 eV/atom
symmetry: F-43m

=====

[4]
This record from Alexandria describes BaHfGaC2 after structural relaxation. The functional is PBE-GGA.

```
BaHfGaC2
1.0
4.5650 0.0000 0.0000
0.0000 6.0363 0.0000
0.0000 0.0000 4.5650
C Ga Hf Ba
2 1 1 1
direct
0.5000 0.0000 0.0000 C
0.0000 0.0000 0.5000 C
0.5000 0.5000 0.5000 Ga
0.0000 0.5000 0.0000 Hf
0.0000 0.0000 0.0000 Ba
```

energy relative to the elements: 2.9467 eV/atom
symmetry: P4/mmm

=====

[5]
This record from Alexandria describes ZnInBr3 after structural relaxation. The functional is PBE-GGA.

```
ZnInBr3
1.0
-5.9850 -1.7606 -2.7497
2.8859 -2.3987 -6.4620
0.5395 -7.7211 0.2439
Br Zn In
6 2 2
direct
0.8344 0.2669 0.2262 Br
0.6797 0.1402 0.7950 Br
0.7805 0.6728 0.4707 Br
0.1656 0.7331 0.7738 Br
0.2195 0.3272 0.5293 Br
0.3203 0.8598 0.2050 Br
0.1448 0.6716 0.4928 Zn
0.8552 0.3284 0.5072 Zn
0.3114 0.2997 0.0958 In
0.6886 0.7003 0.9042 In
```

symmetry: P-1
formation energy without anion corrections: -0.782 eV per atom

=====

[6]
This record from Alexandria describes Ta2NbV after structural relaxation. The functional is PBE-GGA.

```
Ta2NbV
1.0
3.2333 0.0000 0.0000
0.0000 3.2333 0.0000
0.0000 0.0000 6.5416
Nb Ta V
1 2 1
direct
0.5000 0.5000 0.5000 Nb
0.0000 0.0000 0.7628 Ta
0.0000 0.0000 0.2372 Ta
0.5000 0.5000 0.0000 V
```

energy relative to the elements: 0.0200 eV/atom
symmetry: P4/mmm

=====

[7]
This record from Alexandria describes LiYTl after structural relaxation. The functional is PBE-GGA.

```
LiYTl
1.0
-1.9391 2.4649 4.5600
0.3753 -0.8328 3.5594
4.4115 3.0249 0.2426
Y Li Tl
1 1 1
direct
0.0000 0.0000 0.5000 Y
0.5000 0.5000 0.0000 Li
0.0000 0.5000 0.0000 Tl
```

energy relative to the elements: -0.0046 eV/atom
symmetry: P2/m

=====

[8]
This record from Alexandria describes PmPr4Ho7 after structural relaxation. The functional is PBE-GGA.

```
PmPr4Ho7
1.0
-2.9770 -2.3572 -5.7616
0.6452 -7.6876 -4.2501
-5.4049 -4.5457 5.7384
Ho Pr Pm
7 4 1
direct
0.7097 0.1867 0.3814 Ho
0.9772 0.3193 0.6449 Ho
0.5000 0.0000 0.0000 Ho
0.7362 0.5124 0.9518 Ho
0.2903 0.8133 0.6186 Ho
0.2638 0.4876 0.0482 Ho
0.0228 0.6807 0.3551 Ho
0.2216 0.1670 0.3098 Pr
0.4445 0.3606 0.7129 Pr
0.5555 0.6394 0.2871 Pr
0.7784 0.8330 0.6902 Pr
0.0000 0.0000 0.0000 Pm
```

energy relative to the elements: 0.0860 eV/atom
symmetry: P-1

=====

Calculated calculated density, 10.7, 4.5, 14.1, 5.4, 3.8, 12.3, 6.1, 7.7 g/cm³ (same order as the records).